1.
Density functional theory data (PBE) for Tl10Hg4Sb after structural relaxation.

Summary:
Total energy in eV per atom: -1.896
Energy relative to the elements, uncorrected in eV/f.u.: 0.56
Total magnetization in μB/f.u.: 0.0

Lattice parameters (Å, degrees): 9.0838 9.0838 9.0838 99.57 99.57 131.86
Closest atoms and distances in Å follow each position.
Atoms (fractional coordinates):
Tl (0.0485, 0.3442, 0.8923)  3 Hg 3.19-3.21, 1 Sb 3.20
Tl (0.1562, 0.0485, 0.7043)  3 Hg 3.19-3.21, 1 Sb 3.20
Tl (0.2500, 0.7500, 0.5000)  4 Hg 3.27
Tl (0.3442, 0.4519, 0.2957)  3 Hg 3.19-3.21, 1 Sb 3.20
Tl (0.4519, 0.1562, 0.1077)  3 Hg 3.19-3.21, 1 Sb 3.20
Tl (0.5481, 0.8438, 0.8923)  3 Hg 3.19-3.21, 1 Sb 3.20
Tl (0.6558, 0.5481, 0.7043)  3 Hg 3.19-3.21, 1 Sb 3.20
Tl (0.7500, 0.2500, 0.5000)  4 Hg 3.27
Tl (0.8438, 0.9515, 0.2957)  3 Hg 3.19-3.21, 1 Sb 3.20
Tl (0.9515, 0.6558, 0.1077)  3 Hg 3.19-3.21, 1 Sb 3.20
Hg (0.1065, 0.7041, 0.8106)  8 Tl 3.19-3.27
Hg (0.2959, 0.1065, 0.4024)  8 Tl 3.19-3.27
Hg (0.7041, 0.8935, 0.5976)  8 Tl 3.19-3.27
Hg (0.8935, 0.2959, 0.1894)  8 Tl 3.19-3.27
Sb (0.5000, 0.5000, 0.0000)  8 Tl 3.20

2.
Density functional theory data (PBE) for Tl12Hg7Sb after structural relaxation.

Summary:
Total energy in eV per atom: -1.716
Relative energy among the computed polymorphs in meV per atom: 3
Energy relative to the elements, uncorrected in eV/f.u.: 0.30
Total magnetization in μB/f.u.: 0.0

Lattice parameters (Å, degrees): 8.7440 8.7440 8.7440 104.07 104.07 104.07
Closest atoms and distances in Å follow each position.
Atoms (fractional coordinates):
Tl (0.0291, 0.7553, 0.2689)  4 Hg 3.24-3.55, 6 Tl 3.45-3.56
Tl (0.1544, 0.1860, 0.4236)  1 Sb 3.35, 5 Hg 3.42-3.70, 6 Tl 3.45-3.53
Tl (0.1860, 0.4236, 0.1544)  1 Sb 3.35, 5 Hg 3.42-3.70, 6 Tl 3.45-3.53
Tl (0.2447, 0.7311, 0.9709)  4 Hg 3.24-3.55, 6 Tl 3.45-3.56
Tl (0.2689, 0.0291, 0.7553)  4 Hg 3.24-3.55, 6 Tl 3.45-3.56
Tl (0.4236, 0.1544, 0.1860)  1 Sb 3.35, 5 Hg 3.42-3.70, 6 Tl 3.45-3.53
Tl (0.5764, 0.8456, 0.8140)  1 Sb 3.35, 5 Hg 3.42-3.70, 6 Tl 3.45-3.53
Tl (0.7311, 0.9709, 0.2447)  4 Hg 3.24-3.55, 6 Tl 3.45-3.56
Tl (0.7553, 0.2689, 0.0291)  4 Hg 3.24-3.55, 6 Tl 3.45-3.56
Tl (0.8140, 0.5764, 0.8456)  1 Sb 3.35, 5 Hg 3.42-3.70, 6 Tl 3.45-3.53
Tl (0.8456, 0.8140, 0.5764)  1 Sb 3.35, 5 Hg 3.42-3.70, 6 Tl 3.45-3.53
Tl (0.9709, 0.2447, 0.7311)  4 Hg 3.24-3.55, 6 Tl 3.45-3.56
Hg (0.0000, 0.0000, 0.0000)  12 Tl 3.43-3.55
Hg (0.1757, 0.6196, 0.5670)  1 Hg 3.02, 3 Tl 3.24-3.36, 1 Sb 3.38
Hg (0.3804, 0.4330, 0.8243)  1 Hg 3.02, 3 Tl 3.24-3.36, 1 Sb 3.38
Hg (0.4330, 0.8243, 0.3804)  1 Hg 3.02, 3 Tl 3.24-3.36, 1 Sb 3.38
Hg (0.5670, 0.1757, 0.6196)  1 Hg 3.02, 3 Tl 3.24-3.36, 1 Sb 3.38
Hg (0.6196, 0.5670, 0.1757)  1 Hg 3.02, 3 Tl 3.24-3.36, 1 Sb 3.38
Hg (0.8243, 0.3804, 0.4330)  1 Hg 3.02, 3 Tl 3.24-3.36, 1 Sb 3.38
Sb (0.5000, 0.5000, 0.5000)  6 Tl 3.35, 6 Hg 3.38

3.
Density functional theory data (PBE) for Tl5Hg3Sb after structural relaxation.

Summary:
Total energy in eV per atom: -1.884
Energy relative to the elements, uncorrected in eV/f.u.: -0.10
Total magnetization in μB/f.u.: 0.0

Lattice parameters (Å, degrees): 9.6656 9.6656 6.7129 90.00 90.00 120.00
Closest atoms and distances in Å follow each position.
Atoms (fractional coordinates):
Tl (0.0000, 0.2910, 0.2500)  5 Hg 3.26-3.44, 2 Sb 3.28
Tl (0.0000, 0.7090, 0.7500)  5 Hg 3.26-3.44, 2 Sb 3.28
Tl (0.2910, 0.0000, 0.2500)  5 Hg 3.26-3.44, 2 Sb 3.28
Tl (0.2910, 0.2910, 0.7500)  5 Hg 3.26-3.44, 2 Sb 3.28
Tl (0.3333, 0.6667, 0.0000)  2 Tl 3.36, 6 Hg 3.49
Tl (0.3333, 0.6667, 0.5000)  2 Tl 3.36, 6 Hg 3.49
Tl (0.6667, 0.3333, 0.0000)  2 Tl 3.36, 6 Hg 3.49
Tl (0.6667, 0.3333, 0.5000)  2 Tl 3.36, 6 Hg 3.49
Tl (0.7090, 0.0000, 0.7500)  5 Hg 3.26-3.44, 2 Sb 3.28
Tl (0.7090, 0.7090, 0.2500)  5 Hg 3.26-3.44, 2 Sb 3.28
Hg (0.0000, 0.3695, 0.7500)  9 Tl 3.26-3.49
Hg (0.0000, 0.6305, 0.2500)  9 Tl 3.26-3.49
Hg (0.3695, 0.0000, 0.7500)  9 Tl 3.26-3.49
Hg (0.3695, 0.3695, 0.2500)  9 Tl 3.26-3.49
Hg (0.6305, 0.0000, 0.2500)  9 Tl 3.26-3.49
Hg (0.6305, 0.6305, 0.7500)  9 Tl 3.26-3.49
Sb (0.0000, 0.0000, 0.0000)  6 Tl 3.28, 2 Sb 3.36
Sb (0.0000, 0.0000, 0.5000)  6 Tl 3.28, 2 Sb 3.36

4.
Density functional theory data (PBE) for Tl3Hg2Sb2 after structural relaxation.

Summary:
Total energy in eV per atom: -2.247
Energy relative to the elements, uncorrected in eV/f.u.: 0.22
Total magnetization in μB/f.u.: 0.0

Lattice parameters (Å, degrees): 11.6851 11.6851 11.6851 163.87 151.86 32.60
Closest atoms and distances in Å follow each position.
Atoms (fractional coordinates):
Tl (0.0000, 0.0000, 0.0000)  2 Tl 3.28, 8 Sb 3.59, 4 Hg 3.63
Tl (0.2917, 0.7917, 0.5000)  2 Tl 3.28, 5 Hg 3.30-3.58, 2 Sb 3.61
Tl (0.7083, 0.2083, 0.5000)  2 Tl 3.28, 5 Hg 3.30-3.58, 2 Sb 3.61
Hg (0.1446, 0.6446, 0.5000)  2 Hg 3.28, 7 Tl 3.30-3.63, 2 Sb 3.35
Hg (0.8554, 0.3554, 0.5000)  2 Hg 3.28, 7 Tl 3.30-3.63, 2 Sb 3.35
Sb (0.4350, 0.4350, 0.0000)  1 Sb 2.92
Sb (0.5650, 0.5650, 0.0000)  1 Sb 2.92

5.
Density functional theory data (PBE) for Tl3Hg7Sb2 after structural relaxation.

Summary:
Total energy in eV per atom: -1.419
Energy relative to the elements, uncorrected in eV/f.u.: 0.43
Total magnetization in μB/f.u.: 0.0

Lattice parameters (Å, degrees): 5.9938 7.1707 9.1596 111.51 97.04 100.34
Closest atoms and distances in Å follow each position.
Atoms (fractional coordinates):
Tl (0.0000, 0.0000, 0.0000)  4 Hg 3.24-3.59, 2 Tl 3.39, 2 Sb 3.62
Tl (0.2069, 0.3944, 0.3646)  5 Hg 3.23-3.62, 1 Sb 3.31, 1 Tl 3.39
Tl (0.7931, 0.6056, 0.6354)  5 Hg 3.23-3.62, 1 Sb 3.31, 1 Tl 3.39
Hg (0.0000, 0.5000, 0.0000)  2 Sb 2.82
Hg (0.3083, 0.2459, 0.6615)  2 Sb 2.99-3.15, 2 Hg 3.12-3.30, 1 Tl 3.29
Hg (0.3331, 0.8299, 0.6913)  2 Hg 3.10-3.12, 3 Tl 3.23-3.43, 1 Sb 3.45
Hg (0.4994, 0.2904, 0.0295)  5 Hg 3.10-3.36, 1 Tl 3.24
Hg (0.5006, 0.7096, 0.9705)  5 Hg 3.10-3.36, 1 Tl 3.24
Hg (0.6669, 0.1701, 0.3087)  2 Hg 3.10-3.12, 3 Tl 3.23-3.43, 1 Sb 3.45
Hg (0.6917, 0.7541, 0.3385)  2 Sb 2.99-3.15, 2 Hg 3.12-3.30, 1 Tl 3.29
Sb (0.1860, 0.8206, 0.3053)  3 Hg 2.82-3.15
Sb (0.8141, 0.1794, 0.6947)  3 Hg 2.82-3.15

6.
Density functional theory data (PBE) for Tl7HgSb2 after structural relaxation.

Summary:
Total energy in eV per atom: -2.513
Relative energy among the computed polymorphs in meV per atom: 0
Energy relative to the elements, uncorrected in eV/f.u.: -0.02
Total magnetization in μB/f.u.: 0.0

Lattice parameters (Å, degrees): 9.5201 9.5201 11.1578 114.13 114.13 44.28
Closest atoms and distances in Å follow each position.
Atoms (fractional coordinates):
Tl (0.0674, 0.9326, 0.7500)  2 Sb 3.40, 2 Hg 3.43-3.74, 4 Tl 3.55-3.63
Tl (0.0796, 0.6686, 0.9657)  3 Sb 3.27-3.46, 1 Hg 3.46, 5 Tl 3.55-3.66
Tl (0.1954, 0.6146, 0.4249)  2 Sb 3.28-3.62, 1 Hg 3.30, 4 Tl 3.50-3.66
Tl (0.2249, 0.3917, 0.6480)  1 Hg 3.19, 3 Sb 3.22-3.33, 3 Tl 3.50-3.56
Tl (0.3314, 0.9204, 0.5343)  3 Sb 3.27-3.46, 1 Hg 3.46, 5 Tl 3.55-3.66
Tl (0.3854, 0.8046, 0.0751)  2 Sb 3.28-3.62, 1 Hg 3.30, 4 Tl 3.50-3.66
Tl (0.3917, 0.2249, 0.1480)  1 Hg 3.19, 3 Sb 3.22-3.33, 3 Tl 3.50-3.56
Tl (0.6083, 0.7751, 0.8520)  1 Hg 3.19, 3 Sb 3.22-3.33, 3 Tl 3.50-3.56
Tl (0.6146, 0.1954, 0.9249)  2 Sb 3.28-3.62, 1 Hg 3.30, 4 Tl 3.50-3.66
Tl (0.6686, 0.0796, 0.4657)  3 Sb 3.27-3.46, 1 Hg 3.46, 5 Tl 3.55-3.66
Tl (0.7751, 0.6083, 0.3520)  1 Hg 3.19, 3 Sb 3.22-3.33, 3 Tl 3.50-3.56
Tl (0.8046, 0.3854, 0.5751)  2 Sb 3.28-3.62, 1 Hg 3.30, 4 Tl 3.50-3.66
Tl (0.9204, 0.3314, 0.0343)  3 Sb 3.27-3.46, 1 Hg 3.46, 5 Tl 3.55-3.66
Tl (0.9326, 0.0674, 0.2500)  2 Sb 3.40, 2 Hg 3.43-3.74, 4 Tl 3.55-3.63
Hg (0.4545, 0.5455, 0.2500)  7 Tl 3.19-3.46
Hg (0.5455, 0.4545, 0.7500)  7 Tl 3.19-3.46
Sb (0.1768, 0.2358, 0.8357)  8 Tl 3.22-3.46
Sb (0.2358, 0.1768, 0.3357)  8 Tl 3.22-3.46
Sb (0.7642, 0.8232, 0.6643)  8 Tl 3.22-3.46
Sb (0.8232, 0.7642, 0.1643)  8 Tl 3.22-3.46